[1]
Entry from the Alexandria database: a relaxed structure of NbRhPb3 (PBE).

N(E_F): 10.6 states/eV/cell
SG: Pm-3m (221)
energy above the lowest structure with this stoichiometry: 0.0 meV per atom

Cell lengths 5.2070, 5.2070, 5.2070 Å; angles 90.00, 90.00, 90.00 degrees
Sites, in units of the cell vectors:
1 Nb 0.0000 0.0000 0.0000
2 Rh 0.5000 0.5000 0.5000
3 Pb 0.0000 0.5000 0.5000
4 Pb 0.5000 0.0000 0.5000
5 Pb 0.5000 0.5000 0.0000

[2]
Entry from the Alexandria database: a relaxed structure of KRb2Li (PBE).

N(E_F): 2.9 states/eV/cell
SG: P4/mmm (123)
energy above the lowest structure with this stoichiometry: 18.0 meV per atom

Cell lengths 6.4963, 6.4963, 6.2791 Å; angles 90.00, 90.00, 90.00 degrees
Sites, in units of the cell vectors:
1 K 0.0000 0.0000 0.0000
2 Rb 0.0000 0.5000 0.5000
3 Rb 0.5000 0.0000 0.5000
4 Li 0.5000 0.5000 0.0000

[3]
Entry from the Alexandria database: a relaxed structure of RbTlHgF4 (PBE).

N(E_F): 0.0 states/eV/cell
uncorrected formation energy: -1275 kJ/mol of formula units
SG: P2_1/m (11)

Cell lengths 5.4616, 6.6710, 8.3942 Å; angles 90.00, 107.99, 90.00 degrees
Sites, in units of the cell vectors:
1 Rb 0.2131 0.2500 0.4630
2 Rb 0.7869 0.7500 0.5370
3 Tl 0.3844 0.7500 0.9726
4 Tl 0.6156 0.2500 0.0274
5 Hg 0.0823 0.7500 0.1675
6 Hg 0.9177 0.2500 0.8325
7 F 0.2303 0.0256 0.7928
8 F 0.2303 0.4744 0.7928
9 F 0.2465 0.7500 0.4444
10 F 0.2901 0.2500 0.1233
11 F 0.7099 0.7500 0.8767
12 F 0.7535 0.2500 0.5556
13 F 0.7697 0.5256 0.2072
14 F 0.7697 0.9744 0.2072

[4]
Entry from the Alexandria database: a relaxed structure of Pm4ErTm7 (PBE).

N(E_F): 19.0 states/eV/cell
SG: P-1 (2)
energy above the lowest structure with this stoichiometry: 0.0 meV per atom

Cell lengths 6.5161, 6.7870, 8.9780 Å; angles 84.47, 77.08, 81.10 degrees
Sites, in units of the cell vectors:
1 Pm 0.1398 0.3083 0.2869
2 Pm 0.3336 0.8839 0.6927
3 Pm 0.6664 0.1161 0.3073
4 Pm 0.8602 0.6917 0.7131
5 Er 0.5000 0.5000 0.0000
6 Tm 0.0118 0.2529 0.9520
7 Tm 0.1805 0.7978 0.3557
8 Tm 0.3142 0.3939 0.6188
9 Tm 0.5000 0.0000 0.0000
10 Tm 0.6858 0.6061 0.3812
11 Tm 0.8195 0.2022 0.6443
12 Tm 0.9882 0.7471 0.0480

[5]
Entry from the Alexandria database: a relaxed structure of UMnVTc (PBE).

N(E_F): 6.0 states/eV/cell
SG: F-43m (216)
energy: -9.899 eV per atom

Cell lengths 4.4413, 4.4413, 4.4413 Å; angles 60.00, 60.00, 60.00 degrees
Sites, in units of the cell vectors:
1 U 0.0000 0.0000 0.0000
2 Mn 0.7500 0.7500 0.7500
3 V 0.5000 0.5000 0.5000
4 Tc 0.2500 0.2500 0.2500

[6]
Entry from the Alexandria database: a relaxed structure of ScAsSe2O (PBE).

N(E_F): 11.4 states/eV/cell
uncorrected formation energy: 239 kJ/mol of formula units
SG: P4/mmm (123)
energy above the lowest structure with this stoichiometry: 802.2 meV per atom

Cell lengths 4.9991, 4.9991, 5.2336 Å; angles 90.00, 90.00, 90.00 degrees
Sites, in units of the cell vectors:
1 Sc 0.0000 0.0000 0.0000
2 As 0.0000 0.0000 0.5000
3 Se 0.0000 0.5000 0.0000
4 Se 0.5000 0.0000 0.0000
5 O 0.5000 0.5000 0.5000

[7]
Entry from the Alexandria database: a relaxed structure of BaScS3 (PBE).

N(E_F): 4.6 states/eV/cell
uncorrected formation energy: -757 kJ/mol of formula units
SG: P2_1/c (14)

Cell lengths 8.8069, 8.3404, 8.7914 Å; angles 90.00, 111.91, 90.00 degrees
Sites, in units of the cell vectors:
1 Ba 0.1143 0.2344 0.0429
2 Ba 0.1143 0.2656 0.5429
3 Ba 0.8857 0.7344 0.4571
4 Ba 0.8857 0.7656 0.9571
5 Sc 0.3236 0.6185 0.8759
6 Sc 0.3236 0.8815 0.3759
7 Sc 0.6764 0.1185 0.6241
8 Sc 0.6764 0.3815 0.1241
9 S 0.0366 0.5246 0.7779
10 S 0.0366 0.9754 0.2779
11 S 0.3023 0.6950 0.5960
12 S 0.3023 0.8050 0.0960
13 S 0.3948 0.1775 0.4046
14 S 0.3948 0.3225 0.9046
15 S 0.6052 0.6775 0.0954
16 S 0.6052 0.8225 0.5954
17 S 0.6977 0.1950 0.9040
18 S 0.6977 0.3050 0.4040
19 S 0.9634 0.0246 0.7221
20 S 0.9634 0.4754 0.2221

[8]
Entry from the Alexandria database: a relaxed structure of HfScPtAu (PBE).

N(E_F): 2.5 states/eV/cell
SG: F-43m (216)
energy: -7.254 eV per atom

Cell lengths 4.7481, 4.7481, 4.7481 Å; angles 60.00, 60.00, 60.00 degrees
Sites, in units of the cell vectors:
1 Hf 0.0000 0.0000 0.0000
2 Sc 0.5000 0.5000 0.5000
3 Pt 0.2500 0.2500 0.2500
4 Au 0.7500 0.7500 0.7500

[9]
Entry from the Alexandria database: a relaxed structure of La2InI (PBE).

N(E_F): 1.8 states/eV/cell
uncorrected formation energy: -273 kJ/mol of formula units
SG: R3m (160)
energy above the lowest structure with this stoichiometry: 39.3 meV per atom

Cell lengths 9.8781, 9.8781, 9.8781 Å; angles 23.56, 23.56, 23.56 degrees
Sites, in units of the cell vectors:
1 La 0.0000 0.0000 0.0000
2 La 0.1712 0.1712 0.1712
3 In 0.5857 0.5857 0.5857
4 I 0.7525 0.7525 0.7525

[10]
Entry from the Alexandria database: a relaxed structure of Dy3TlOs (PBE).

N(E_F): 7.1 states/eV/cell
SG: C2/m (12)
energy above the lowest structure with this stoichiometry: 93.7 meV per atom

Cell lengths 7.1154, 7.1154, 8.5325 Å; angles 112.99, 112.99, 43.23 degrees
Sites, in units of the cell vectors:
1 Dy 0.0676 0.0676 0.2276
2 Dy 0.2268 0.2268 0.7352
3 Dy 0.4065 0.4065 0.1343
4 Dy 0.5935 0.5935 0.8657
5 Dy 0.7732 0.7732 0.2648
6 Dy 0.9324 0.9324 0.7724
7 Tl 0.3710 0.3710 0.5019
8 Tl 0.6290 0.6290 0.4981
9 Os 0.1763 0.1763 0.0206
10 Os 0.8237 0.8237 0.9794

[11]
Entry from the Alexandria database: a relaxed structure of La2Tb4Dy5 (PBE).

N(E_F): 15.8 states/eV/cell
SG: C2/m (12)
energy above the lowest structure with this stoichiometry: 4.3 meV per atom

Cell lengths 8.9447, 8.9447, 6.7485 Å; angles 99.55, 99.55, 43.97 degrees
Sites, in units of the cell vectors:
1 La 0.1999 0.1999 0.2967
2 La 0.8001 0.8001 0.7033
3 Tb 0.2437 0.2437 0.8052
4 Tb 0.4136 0.4136 0.5949
5 Tb 0.5864 0.5864 0.4051
6 Tb 0.7563 0.7563 0.1948
7 Dy 0.0000 0.0000 0.5000
8 Dy 0.1741 0.6499 0.0944
9 Dy 0.3501 0.8259 0.9056
10 Dy 0.6499 0.1741 0.0944
11 Dy 0.8259 0.3501 0.9056

[12]
Entry from the Alexandria database: a relaxed structure of AcHo2Al (PBE).

N(E_F): 3.8 states/eV/cell
SG: P4/mmm (123)
energy above the lowest structure with this stoichiometry: 0.0 meV per atom

Cell lengths 3.6203, 3.6203, 9.2319 Å; angles 90.00, 90.00, 90.00 degrees
Sites, in units of the cell vectors:
1 Ac 0.0000 0.0000 0.0000
2 Ho 0.5000 0.5000 0.3024
3 Ho 0.5000 0.5000 0.6976
4 Al 0.0000 0.0000 0.5000